# K4Tb3USe8

A relaxed K4Tb3USe8 crystal (PBE, the Alexandria database).

Output
The crystal system is trigonal. The formation energy (no corrections) comes out at -1.62 eV/atom. Its magnetic moment is 3.01 μB/f.u. The total energy is -5.210 eV per atom.

a b c (Å): 8.4742 8.4742 23.0753
angles (deg): 90.00 90.00 120.00
Space group R-3m (No. 166, hexagonal axes)
Inequivalent atoms, fractional coordinates:
K  0.0000  0.0000  0.0000 (multiplicity 3)
K  0.0000  0.5000  0.0000 (multiplicity 9)
Tb  0.0000  0.5000  0.5000 (multiplicity 9)
U  0.0000  0.0000  0.5000 (multiplicity 3)
Se  0.0000  0.0000  0.2354 (multiplicity 6)
Se  0.0013  0.5006  0.7645 (multiplicity 18)